Computed, not measured: a relaxed PrCdSi2Au5 crystal at the PBE level of DFT.

Unit cell a=4.603 b=4.603 c=9.654 alpha=90.00 beta=90.00 gamma=90.00
Positions (direct):
Pr  0.000  0.000  0.500
Si  0.500  0.500  0.257
Si  0.500  0.500  0.743
Au  0.500  0.500  0.500
Au  0.000  0.500  0.820
Au  0.500  0.000  0.820
Au  0.000  0.500  0.180
Au  0.500  0.000  0.180
Cd  0.000  0.000  0.000

Its total energy is -34.89 eV per cell. The volume comes out at 204.5 Å³/cell. Its space group is P4/mmm, No. 123. For the energy relative to the elements, uncorrected, the calculation gives -0.218 eV per atom.

=====

Computed, not measured: a relaxed Sr2PrCd12Au3 crystal at the PBE level of DFT.

Unit cell a=8.913 b=8.913 c=8.913 alpha=62.55 beta=62.55 gamma=62.55
Positions (direct):
Pr  0.000  0.000  0.000
Cd  0.165  0.746  0.746
Cd  0.541  0.172  0.172
Cd  0.835  0.254  0.254
Cd  0.828  0.828  0.459
Cd  0.254  0.835  0.254
Cd  0.254  0.254  0.835
Cd  0.172  0.172  0.541
Cd  0.828  0.459  0.828
Cd  0.459  0.828  0.828
Cd  0.172  0.541  0.172
Cd  0.746  0.746  0.165
Cd  0.746  0.165  0.746
Au  0.500  0.000  0.000
Au  0.000  0.000  0.500
Au  0.000  0.500  0.000
Sr  0.415  0.415  0.415
Sr  0.585  0.585  0.585

Its total energy is -29.25 eV per cell. The volume comes out at 529.1 Å³/cell. Its space group is R-3m, No. 166. Its formation enthalpy at 0 K is -0.016 eV/atom.

=====

Computed, not measured: a relaxed SrPrCdAu crystal at the PBE level of DFT.

Unit cell a=5.460 b=5.460 c=5.460 alpha=60.00 beta=60.00 gamma=60.00
Positions (direct):
Au  0.000  0.000  0.000
Pr  0.250  0.250  0.250
Sr  0.750  0.750  0.750
Cd  0.500  0.500  0.500

Its total energy is -12.57 eV per cell. The volume comes out at 115.1 Å³/cell. Its space group is F-43m, No. 216. Its formation enthalpy at 0 K is -0.480 eV/atom.

=====

Values for total moment, μB/f.u., ordered as above
0.000, 0.000, 0.000